First-principles (PBE with a Hubbard U) data for a relaxed structure of Rb2CoP4H8O16, as listed in the Alexandria database.

Cell lengths 7.087, 7.498, 7.802 Å; angles 81.93, 72.01, 87.46 degrees
Fractional positions:
Rb (0.101, 0.219, 0.294)
Rb (0.899, 0.781, 0.706)
Co (0.500, 0.000, 0.500)
P (0.247, 0.301, 0.754)
P (0.342, 0.758, 0.242)
P (0.658, 0.242, 0.758)
P (0.753, 0.699, 0.246)
H (0.069, 0.762, 0.084)
H (0.263, 0.533, 0.469)
H (0.376, 0.811, 0.851)
H (0.379, 0.678, 0.706)
H (0.621, 0.322, 0.294)
H (0.624, 0.189, 0.149)
H (0.737, 0.467, 0.531)
H (0.931, 0.238, 0.916)
O (0.064, 0.277, 0.931)
O (0.253, 0.567, 0.336)
O (0.256, 0.158, 0.633)
O (0.263, 0.495, 0.659)
O (0.264, 0.818, 0.083)
O (0.309, 0.886, 0.383)
O (0.421, 0.270, 0.851)
O (0.435, 0.791, 0.722)
O (0.565, 0.209, 0.278)
O (0.579, 0.730, 0.149)
O (0.691, 0.114, 0.617)
O (0.736, 0.182, 0.917)
O (0.737, 0.505, 0.341)
O (0.744, 0.842, 0.367)
O (0.747, 0.433, 0.664)
O (0.936, 0.723, 0.069)

Calculated values
crystal system	triclinic
final energy	-6.10	eV/atom
SG	P-1 (2)